(1)
Here is an optimized crystal structure of CoTeOs2 from Alexandria via LeMat-Bulk. Energies are from PBE.

Values from the calculation:
Its density of states at the Fermi level is 1.362 states/eV per atom. The calculation puts the formation energy from raw total energies at 0.73 eV per atom. For the total magnetization, the calculation gives 0.530 μB/f.u.

abc: 3.1097 3.1097 6.3618
angles: 90.00 90.00 90.00
Space group P4/mmm (No. 123)
One atom of each set of equivalent atoms:
Co 0.0000 0.0000 0.0000 x1
Te 0.0000 0.0000 0.5000 x1
Os 0.5000 0.5000 0.2075 x2

***

(2)
Here is an optimized crystal structure of Na10B13C7 from Alexandria via LeMat-Bulk. Energies are from PBE.

Values from the calculation:
The value obtained for the formation energy is 0.090 eV/atom. Its density of states at the Fermi level is 0.301 states/eV per atom. Its relative energy among the computed polymorphs is 0.005 eV per atom. For the total magnetization, the calculation gives 0.000 μB/f.u.

abc: 22.7785 2.8422 9.8986
angles: 90.00 107.57 90.00
Space group Cm (No. 8)
One atom of each set of equivalent atoms:
Na 0.0000 0.0000 0.0000 x2
Na 0.0001 0.5000 0.4999 x2
Na 0.0997 0.0000 0.6995 x2
Na 0.1018 0.5000 0.1980 x2
Na 0.2001 0.5000 0.9006 x2
Na 0.2013 0.0000 0.4001 x2
Na 0.2999 0.5000 0.6013 x2
Na 0.3009 0.0000 0.1014 x2
Na 0.4000 0.0000 0.7998 x2
Na 0.4011 0.5000 0.3001 x2
B 0.0236 0.0000 0.2962 x2
B 0.0778 0.5000 0.9035 x2
B 0.1174 0.5000 0.4829 x2
B 0.1183 0.0000 0.9841 x2
B 0.1899 0.0000 0.1289 x2
B 0.2118 0.0000 0.6718 x2
B 0.2810 0.0000 0.8121 x2
B 0.2871 0.5000 0.3243 x2
B 0.3200 0.5000 0.8900 x2
B 0.3841 0.0000 0.5183 x2
B 0.4145 0.0000 0.0790 x2
B 0.4811 0.5000 0.7111 x2
B 0.4833 0.0000 0.2163 x2
C 0.0136 0.5000 0.7754 x2
C 0.0863 0.0000 0.4211 x2
C 0.1818 0.5000 0.6102 x2
C 0.2213 0.5000 0.1931 x2
C 0.3187 0.0000 0.3876 x2
C 0.3832 0.5000 0.0163 x2
C 0.4160 0.5000 0.5818 x2

***

(3)
Here is an optimized crystal structure of Ac2PaTl2S6 from Alexandria via LeMat-Bulk. Energies are from PBE.

Values from the calculation:
Its density of states at the Fermi level is 0.206 states/eV per atom. The calculation puts the formation energy from raw total energies at -1.52 eV per atom. For the total magnetization, the calculation gives 1.054 μB/f.u.

abc: 7.5269 12.8902 7.8509
angles: 90.00 108.17 90.00
Space group C2/m (No. 12)
One atom of each set of equivalent atoms:
Ac 0.0000 0.1655 0.0000 x4
Pa 0.0000 0.5000 0.0000 x2
Tl 0.0000 0.3359 0.5000 x4
S 0.2178 0.3442 0.1977 x8
S 0.2354 0.5000 0.7951 x4